# PBE Li2InF6, optimized geometry
# M_tot = 2.115 Bohr magnetons per cell
data_Li2InF6
_space_group_name_H-M_alt 'C 1 2/m 1'
_space_group_IT_number 12
_cell_length_a 10.5248
_cell_length_b 3.6888
_cell_length_c 6.6786
_cell_angle_alpha 90.00
_cell_angle_beta 122.62
_cell_angle_gamma 90.00
loop_
_space_group_symop_operation_xyz
'x,y,z'
'-x,-y,-z'
'-x,y,-z'
'x,-y,z'
'x+1/2,y+1/2,z'
'-x+1/2,-y+1/2,-z'
'-x+1/2,y+1/2,-z'
'x+1/2,-y+1/2,z'
loop_
_atom_site_label
_atom_site_type_symbol
_atom_site_fract_x
_atom_site_fract_y
_atom_site_fract_z
_atom_site_occupancy
Li1 Li 0.1654 0.0000 0.1067 1
In1 In 0.0000 0.0000 0.5000 1
F1 F 0.0263 0.0000 0.2128 1
F2 F 0.1365 0.5000 0.5636 1
F3 F 0.2442 0.0000 0.8598 1


# PBE Li2InF4, optimized geometry
# M_tot = 0.000 Bohr magnetons per cell
data_Li2InF4
_space_group_name_H-M_alt 'P b a m'
_space_group_IT_number 55
_cell_length_a 5.3041
_cell_length_b 10.6447
_cell_length_c 3.2571
_cell_angle_alpha 90.00
_cell_angle_beta 90.00
_cell_angle_gamma 90.00
loop_
_space_group_symop_operation_xyz
'x,y,z'
'-x,-y,-z'
'-x,-y,z'
'x,y,-z'
'x+1/2,-y+1/2,-z'
'-x+1/2,y+1/2,z'
'-x+1/2,y+1/2,-z'
'x+1/2,-y+1/2,z'
loop_
_atom_site_label
_atom_site_type_symbol
_atom_site_fract_x
_atom_site_fract_y
_atom_site_fract_z
_atom_site_occupancy
Li1 Li 0.0180 0.1824 0.0000 1
In1 In 0.0000 0.5000 0.5000 1
F1 F 0.1561 0.1221 0.5000 1
F2 F 0.1584 0.3555 0.0000 1


# PBE Li2InF, optimized geometry
# Energy above the most stable polymorph in this dataset = 149.1 meV/atom
# M_tot = 0.000 Bohr magnetons per cell
data_Li2InF
_space_group_name_H-M_alt 'P 4/m m m'
_space_group_IT_number 123
_space_group_name_Hall '-P 4 2'
_cell_length_a 2.8564
_cell_length_b 2.8564
_cell_length_c 7.3799
_cell_angle_alpha 90.00
_cell_angle_beta 90.00
_cell_angle_gamma 90.00
loop_
_atom_site_label
_atom_site_type_symbol
_atom_site_fract_x
_atom_site_fract_y
_atom_site_fract_z
_atom_site_occupancy
Li1 Li 0.0000 0.0000 0.1703 1
In1 In 0.5000 0.5000 0.5000 1
F1 F 0.5000 0.5000 0.0000 1


# PBE LiIn2F6, optimized geometry
# M_tot = 0.000 Bohr magnetons per cell
data_LiIn2F6
_space_group_name_H-M_alt 'P 42/m n m'
_space_group_IT_number 136
_space_group_name_Hall '-P 4n 2n'
_cell_length_a 5.0491
_cell_length_b 5.0491
_cell_length_c 10.1258
_cell_angle_alpha 90.00
_cell_angle_beta 90.00
_cell_angle_gamma 90.00
loop_
_atom_site_label
_atom_site_type_symbol
_atom_site_fract_x
_atom_site_fract_y
_atom_site_fract_z
_atom_site_occupancy
Li1 Li 0.0000 0.0000 0.0000 1
In1 In 0.0000 0.0000 0.3332 1
F1 F 0.1928 0.1928 0.1635 1
F2 F 0.2007 0.2007 0.5000 1


# PBE LiMgInF6, optimized geometry
# M_tot = 0.000 Bohr magnetons per cell
data_LiMgInF6
_space_group_name_H-M_alt 'P 42 n m'
_space_group_IT_number 102
_cell_length_a 4.8261
_cell_length_b 4.8261
_cell_length_c 9.5183
_cell_angle_alpha 90.00
_cell_angle_beta 90.00
_cell_angle_gamma 90.00
loop_
_space_group_symop_operation_xyz
'x,y,z'
'-y+1/2,x+1/2,z+1/2'
'-x,-y,z'
'y+1/2,-x+1/2,z+1/2'
'-x+1/2,y+1/2,z+1/2'
'y,x,z'
'x+1/2,-y+1/2,z+1/2'
'-y,-x,z'
loop_
_atom_site_label
_atom_site_type_symbol
_atom_site_fract_x
_atom_site_fract_y
_atom_site_fract_z
_atom_site_occupancy
Li1 Li 0.0000 0.0000 0.0000 1
Mg1 Mg 0.0000 0.0000 0.6687 1
In1 In 0.0000 0.0000 0.3338 1
F1 F 0.1910 0.1910 0.8296 1
F2 F 0.1947 0.1947 0.5071 1
F3 F 0.2042 0.2042 0.1677 1


# PBE Li2MgInF8, optimized geometry
# M_tot = 2.306 Bohr magnetons per cell
data_Li2MgInF8
_space_group_name_H-M_alt 'I -4 m 2'
_space_group_IT_number 119
_space_group_name_Hall 'I -4 -2'
_cell_length_a 6.6568
_cell_length_b 6.6568
_cell_length_c 6.7370
_cell_angle_alpha 90.00
_cell_angle_beta 90.00
_cell_angle_gamma 90.00
loop_
_atom_site_label
_atom_site_type_symbol
_atom_site_fract_x
_atom_site_fract_y
_atom_site_fract_z
_atom_site_occupancy
Li1 Li 0.0000 0.0000 0.0000 1
Li2 Li 0.0000 0.5000 0.2500 1
Mg1 Mg 0.0000 0.0000 0.5000 1
In1 In 0.0000 0.5000 0.7500 1
F1 F 0.0000 0.1934 0.8087 1
F2 F 0.0000 0.2985 0.4497 1


In the order shown, the computed energy relative to the elements, uncorrected values come out to -225.77; -243.94; -125.76; -237.16; -286.65; -251.23 kJ per mole of atoms.
In the order shown, the computed raw total energy values come out to -77.71; -63.50; -13.65; -81.48; -88.43; -108.75 eV/cell.